Entry 1:
Compound: Mn2AlPd8
Source: Alexandria via LeMat-Bulk
Functional: PBE
Structure: relaxed

a = 7.264 Å, b = 7.264 Å, c = 6.113 Å
α = 104.60°, β = 104.60°, γ = 32.27°
Fractional positions:
Mn 0.221 0.221 0.150
Mn 0.779 0.779 0.850
Al 0.500 0.500 0.500
Pd 0.040 0.040 0.238
Pd 0.147 0.147 0.699
Pd 0.324 0.324 0.583
Pd 0.404 0.404 0.045
Pd 0.596 0.596 0.955
Pd 0.676 0.676 0.417
Pd 0.853 0.853 0.301
Pd 0.960 0.960 0.762

Output
formation energy = -349 meV per atom
excess energy over the best structure of this formula in the dataset = 0.000 eV per atom
symmetry = C2/m, No. 12



Entry 2:
Compound: SmY2S4
Source: Alexandria via LeMat-Bulk
Functional: PBE
Structure: relaxed

a = 6.773 Å, b = 6.773 Å, c = 13.201 Å
α = 90.00°, β = 90.00°, γ = 146.97°
Fractional positions:
Sm 0.125 0.875 0.750
Sm 0.875 0.125 0.250
Y 0.370 0.630 0.569
Y 0.370 0.630 0.931
Y 0.630 0.370 0.069
Y 0.630 0.370 0.431
S 0.000 0.000 0.000
S 0.000 0.000 0.500
S 0.275 0.725 0.121
S 0.275 0.725 0.379
S 0.468 0.532 0.750
S 0.532 0.468 0.250
S 0.725 0.275 0.621
S 0.725 0.275 0.879

Output
excess energy over the best structure of this formula in the dataset = 0.000 eV per atom
symmetry = Cmcm, No. 63



Entry 3:
Compound: Y2TmThAs4
Source: Alexandria via LeMat-Bulk
Functional: PBE
Structure: relaxed

a = 7.170 Å, b = 4.154 Å, c = 7.180 Å
α = 90.00°, β = 109.48°, γ = 90.00°
Fractional positions:
Y 0.000 0.000 0.000
Y 0.500 0.500 0.000
Tm 0.000 0.500 0.500
Th 0.500 0.000 0.500
As 0.244 0.500 0.246
As 0.245 0.000 0.749
As 0.755 0.000 0.251
As 0.756 0.500 0.754

Output
formation energy = -1514 meV per atom
symmetry = P2/m, No. 10



Entry 4:
Compound: Si2As5Pd12
Source: Alexandria via LeMat-Bulk
Functional: PBE
Structure: relaxed

a = 7.525 Å, b = 7.525 Å, c = 7.441 Å
α = 97.79°, β = 97.79°, γ = 50.02°
Fractional positions:
Si 0.197 0.803 0.000
Si 0.803 0.197 0.000
As 0.188 0.188 0.885
As 0.210 0.210 0.390
As 0.500 0.500 0.500
As 0.790 0.790 0.610
As 0.812 0.812 0.115
Pd 0.017 0.017 0.287
Pd 0.107 0.566 0.849
Pd 0.109 0.605 0.393
Pd 0.395 0.891 0.607
Pd 0.434 0.893 0.151
Pd 0.461 0.461 0.164
Pd 0.539 0.539 0.836
Pd 0.566 0.107 0.849
Pd 0.605 0.109 0.393
Pd 0.891 0.395 0.607
Pd 0.893 0.434 0.151
Pd 0.983 0.983 0.713

Output
VASP energy = -5.41 eV per atom
symmetry = C2/m, No. 12



Entry 5:
Compound: ZrCu2Ru
Source: Alexandria via LeMat-Bulk
Functional: PBE
Structure: relaxed

a = 9.023 Å, b = 9.023 Å, c = 9.023 Å
α = 17.99°, β = 17.99°, γ = 17.99°
Fractional positions:
Zr 0.000 0.000 0.000
Cu 0.243 0.243 0.243
Cu 0.503 0.503 0.503
Ru 0.757 0.757 0.757

Output
formation energy = 236 meV per atom
excess energy over the best structure of this formula in the dataset = 0.459 eV per atom
symmetry = R3m, No. 160



Entry 6:
Compound: TaTcTe2S
Source: Alexandria via LeMat-Bulk
Functional: PBE
Structure: relaxed

a = 5.253 Å, b = 5.253 Å, c = 4.495 Å
α = 90.00°, β = 90.00°, γ = 90.00°
Fractional positions:
Ta 0.000 0.000 0.000
Tc 0.500 0.500 0.000
Te 0.000 0.500 0.500
Te 0.500 0.000 0.500
S 0.000 0.000 0.500

Output
VASP energy = -5.29 eV per atom
symmetry = P4/mmm, No. 123



Entry 7:
Compound: BaLi2RhAu
Source: Alexandria via LeMat-Bulk
Functional: PBE
Structure: relaxed

a = 4.735 Å, b = 4.735 Å, c = 5.354 Å
α = 90.00°, β = 90.00°, γ = 90.00°
Fractional positions:
Ba 0.000 0.000 0.000
Li 0.000 0.500 0.500
Li 0.500 0.000 0.500
Rh 0.500 0.500 0.500
Au 0.500 0.500 0.000

Output
formation energy = -180 meV per atom
symmetry = P4/mmm, No. 123



Entry 8:
Compound: PaCo2MoP2
Source: Alexandria via LeMat-Bulk
Functional: PBE
Structure: relaxed

a = 3.792 Å, b = 3.792 Å, c = 7.054 Å
α = 90.00°, β = 90.00°, γ = 120.00°
Fractional positions:
Pa 0.000 0.000 0.000
Co 0.333 0.667 0.747
Co 0.667 0.333 0.253
Mo 0.000 0.000 0.500
P 0.333 0.667 0.289
P 0.667 0.333 0.711

Output
formation energy = -679 meV per atom
symmetry = P-3m1, No. 164



Entry 9:
Compound: DyLuInPt
Source: Alexandria via LeMat-Bulk
Functional: PBE
Structure: relaxed

a = 5.078 Å, b = 5.078 Å, c = 5.078 Å
α = 60.00°, β = 60.00°, γ = 60.00°
Fractional positions:
Dy 0.000 0.000 0.000
Lu 0.500 0.500 0.500
In 0.750 0.750 0.750
Pt 0.250 0.250 0.250

Output
formation energy = -765 meV per atom
symmetry = F-43m, No. 216



Entry 10:
Compound: MnZn5Cu4
Source: Alexandria via LeMat-Bulk
Functional: PBE
Structure: relaxed

a = 2.927 Å, b = 2.927 Å, c = 15.403 Å
α = 90.00°, β = 90.00°, γ = 90.00°
Fractional positions:
Mn 0.000 0.000 0.000
Zn 0.500 0.500 0.107
Zn 0.500 0.500 0.304
Zn 0.500 0.500 0.500
Zn 0.500 0.500 0.696
Zn 0.500 0.500 0.893
Cu 0.000 0.000 0.206
Cu 0.000 0.000 0.402
Cu 0.000 0.000 0.598
Cu 0.000 0.000 0.794

Output
formation energy = -49 meV per atom
symmetry = P4/mmm, No. 123



Entry 11:
Compound: RePt2Rh4
Source: Alexandria via LeMat-Bulk
Functional: PBE
Structure: relaxed

a = 6.998 Å, b = 6.998 Å, c = 4.545 Å
α = 90.00°, β = 90.00°, γ = 143.00°
Fractional positions:
Re 0.000 0.000 0.000
Pt 0.095 0.905 0.500
Pt 0.905 0.095 0.500
Rh 0.198 0.802 0.000
Rh 0.299 0.701 0.500
Rh 0.701 0.299 0.500
Rh 0.802 0.198 0.000

Output
formation energy = 726 meV per atom
excess energy over the best structure of this formula in the dataset = 0.513 eV per atom
symmetry = Cmmm, No. 65



Entry 12:
Compound: ThUCu4Si4
Source: Alexandria via LeMat-Bulk
Functional: PBE
Structure: relaxed

a = 4.045 Å, b = 4.045 Å, c = 9.940 Å
α = 90.00°, β = 90.00°, γ = 90.00°
Fractional positions:
Th 0.000 0.000 0.000
U 0.500 0.500 0.500
Cu 0.000 0.500 0.252
Cu 0.000 0.500 0.748
Cu 0.500 0.000 0.252
Cu 0.500 0.000 0.748
Si 0.000 0.000 0.383
Si 0.000 0.000 0.617
Si 0.500 0.500 0.122
Si 0.500 0.500 0.878

Output
VASP energy = -6.12 eV per atom
symmetry = P4/mmm, No. 123



Entry 13:
Compound: Na2ZnTeSe4
Source: Alexandria via LeMat-Bulk
Functional: PBE
Structure: relaxed

a = 8.184 Å, b = 8.184 Å, c = 8.081 Å
α = 119.42°, β = 119.42°, γ = 90.84°
Fractional positions:
Na 0.000 0.000 0.000
Na 0.000 0.000 0.500
Na 0.000 0.500 0.000
Na 0.500 0.000 0.500
Zn 0.500 0.500 0.000
Zn 0.500 0.500 0.500
Te 0.000 0.500 0.500
Te 0.500 0.000 0.000
Se 0.256 0.743 0.990
Se 0.257 0.744 0.510
Se 0.273 0.288 0.526
Se 0.288 0.273 0.026
Se 0.712 0.727 0.974
Se 0.727 0.712 0.474
Se 0.743 0.256 0.490
Se 0.744 0.257 0.010

Output
VASP energy = -3.16 eV per atom
symmetry = C2/c, No. 15



Entry 14:
Compound: Zr2MnTl3Se6
Source: Alexandria via LeMat-Bulk
Functional: PBE
Structure: relaxed

a = 6.716 Å, b = 6.716 Å, c = 8.327 Å
α = 97.72°, β = 97.72°, γ = 119.99°
Fractional positions:
Zr 0.166 0.834 0.000
Zr 0.834 0.166 0.000
Mn 0.500 0.500 0.000
Tl 0.000 0.000 0.500
Tl 0.332 0.668 0.500
Tl 0.668 0.332 0.500
Se 0.106 0.436 0.807
Se 0.235 0.235 0.193
Se 0.436 0.106 0.807
Se 0.564 0.894 0.193
Se 0.765 0.765 0.807
Se 0.894 0.564 0.193

Output
VASP energy = -5.35 eV per atom
symmetry = C2/m, No. 12



Entry 15:
Compound: Ta2ZnW
Source: Alexandria via LeMat-Bulk
Functional: PBE
Structure: relaxed

a = 2.778 Å, b = 2.778 Å, c = 9.060 Å
α = 90.00°, β = 90.00°, γ = 105.55°
Fractional positions:
Ta 0.000 0.000 0.000
Ta 0.500 0.500 0.262
Zn 0.500 0.500 0.752
W 0.000 0.000 0.515

Output
formation energy = 87 meV per atom
symmetry = Cmm2, No. 35



Entry 16:
Compound: Hg2RhAu
Source: Alexandria via LeMat-Bulk
Functional: PBE
Structure: relaxed

a = 3.095 Å, b = 4.101 Å, c = 5.946 Å
α = 90.00°, β = 90.00°, γ = 90.00°
Fractional positions:
Hg 0.000 0.000 0.000
Hg 0.500 0.500 0.293
Rh 0.000 0.000 0.507
Au 0.500 0.500 0.762

Output
formation energy = 192 meV per atom
symmetry = Pmm2, No. 25



| no. | total moment (μB per atom) |
| --- | --- |
| 1 | 0.839 |
| 2 | 0.000 |
| 3 | 0.000 |
| 4 | 0.000 |
| 5 | 0.000 |
| 6 | 0.624 |
| 7 | 0.000 |
| 8 | 0.218 |
| 9 | 0.000 |
| 10 | 0.310 |
| 11 | 0.186 |
| 12 | 0.247 |
| 13 | 0.000 |
| 14 | 0.374 |
| 15 | 0.000 |
| 16 | 0.000 |